A relaxed Tb4Tl2Ag crystal. Source: Alexandria via LeMat-Bulk, functional PBE-GGA.

Unit cell a=7.073 b=6.718 c=9.100 alpha=90.00 beta=109.70 gamma=90.00
Fractional positions:
Tb 0.087 0.250 0.052
Tb 0.176 0.009 0.726
Tb 0.176 0.491 0.726
Tb 0.325 0.750 0.350
Tb 0.675 0.250 0.650
Tb 0.824 0.509 0.274
Tb 0.824 0.991 0.274
Tb 0.913 0.750 0.948
Tl 0.208 0.250 0.437
Tl 0.430 0.750 0.035
Tl 0.570 0.250 0.965
Tl 0.792 0.750 0.563
Ag 0.495 0.250 0.284
Ag 0.505 0.750 0.716

Energy above the most stable polymorph in this dataset: 57.2 meV per atom
Energy of formation from the pure elements: -15 kJ per mole of atoms
Magnetic moment: 0.0 μB per formula unit
D(E_F): 6.93 states/eV/f.u.